Record 1
Here is crystalline BaYMg3 at its relaxed geometry from the Alexandria database. Energies are from PBE.

Its energy of formation is 0.50 eV/atom. The electronic total energy comes out at -2.133 eV per atom. The symmetry is Pm-3m (221). For the density of states at the Fermi level, the calculation gives 1.62 states/eV per atom. The total magnetization is 0.00 μB/atom.

Cell lengths 5.9144, 5.9144, 5.9144 Å; angles 90.00, 90.00, 90.00 degrees
Closest atoms and distances in Å follow each position.
Atoms (fractional coordinates):
Y 0.0000 0.0000 0.0000  6 Mg 2.96
Mg 0.0000 0.5000 0.0000  2 Y 2.96
Mg 0.0000 0.0000 0.5000  2 Y 2.96
Mg 0.5000 0.0000 0.0000  2 Y 2.96
Ba 0.5000 0.5000 0.5000  12 Mg 4.18


Record 2
Here is crystalline FeReNiW2 at its relaxed geometry from the Alexandria database. Energies are from PBE.

Its energy of formation is 1.73 eV/atom. The electronic total energy comes out at -8.786 eV per atom. The symmetry is P4/mmm (123). For the density of states at the Fermi level, the calculation gives 1.47 states/eV per atom. The total magnetization is 0.53 μB/atom.

Cell lengths 4.4276, 4.4183, 4.4276 Å; angles 90.00, 90.00, 90.00 degrees
Closest atoms and distances in Å follow each position.
Atoms (fractional coordinates):
Re 0.0000 0.5000 0.0000  2 Ni 2.21
Fe 0.5000 0.5000 0.5000  8 W 3.13, 4 Re 3.13
W 0.0000 0.0000 0.5000  2 Ni 2.21
W 0.5000 0.0000 0.0000  2 Ni 2.21
Ni 0.0000 0.0000 0.0000  2 Re 2.21, 4 W 2.21


Q: Which formula does entry 1 have?
A: BaYMg3


Please write out number 2 again, unchanged.
Here is crystalline FeReNiW2 at its relaxed geometry from the Alexandria database. Energies are from PBE.

Its energy of formation is 1.73 eV/atom. The electronic total energy comes out at -8.786 eV per atom. The symmetry is P4/mmm (123). For the density of states at the Fermi level, the calculation gives 1.47 states/eV per atom. The total magnetization is 0.53 μB/atom.

Cell lengths 4.4276, 4.4183, 4.4276 Å; angles 90.00, 90.00, 90.00 degrees
Closest atoms and distances in Å follow each position.
Atoms (fractional coordinates):
Re 0.0000 0.5000 0.0000  2 Ni 2.21
Fe 0.5000 0.5000 0.5000  8 W 3.13, 4 Re 3.13
W 0.0000 0.0000 0.5000  2 Ni 2.21
W 0.5000 0.0000 0.0000  2 Ni 2.21
Ni 0.0000 0.0000 0.0000  2 Re 2.21, 4 W 2.21


Q: Look up the electronic total energy of the second one.
A: -8.786 eV per atom